A | Here is crystalline KMoOs2 at its relaxed geometry from Alexandria via LeMat-Bulk. Energies are from PBE.

Geometry as POSCAR:
```
KMoOs2
1.0
5.2834 0.0000 0.0000
0.0000 5.2834 0.0000
0.0000 0.0000 2.5834
K Mo Os
1 1 2
direct
0.0000 0.0000 0.0000
0.5000 0.5000 0.0000
0.0000 0.5000 0.5000
0.5000 0.0000 0.5000
```

Results
Magnetic moment (μB per formula unit): 0.8
N(E_F) (states/eV/f.u.): 5.050
Mass density (Mg/m³): 11.870

---

B | Here is crystalline KMoOs2 at its relaxed geometry from Alexandria via LeMat-Bulk. Energies are from PBE.

Geometry as POSCAR:
```
KMoOs2
1.0
2.7960 0.0000 0.0000
0.0000 4.8255 0.0000
0.0000 0.0000 4.9656
K Mo Os
1 1 2
direct
0.0000 0.0000 0.0000
0.5000 0.5000 0.0000
0.0000 0.5000 0.5000
0.5000 0.0000 0.5000
```

Results
Magnetic moment (μB per formula unit): 0.0
N(E_F) (states/eV/f.u.): 4.772
Mass density (Mg/m³): 12.777

---

C | Here is crystalline KMoOs2 at its relaxed geometry from Alexandria via LeMat-Bulk. Energies are from PBE.

Geometry as POSCAR:
```
KMoOs2
1.0
2.9268 0.0000 0.0000
0.0000 4.6482 0.0000
0.0000 0.0000 10.2830
K Mo Os
2 2 4
direct
0.0000 0.0000 0.0000
0.5000 0.5000 0.0000
0.0000 0.0000 0.5000
0.5000 0.5000 0.5000
0.0000 0.5000 0.2849
0.0000 0.5000 0.7151
0.5000 0.0000 0.2849
0.5000 0.0000 0.7151
```

Results
Magnetic moment (μB per formula unit): 0.0
N(E_F) (states/eV/f.u.): 4.115
Mass density (Mg/m³): 12.238

---

D | Here is crystalline KMoOs2 at its relaxed geometry from Alexandria via LeMat-Bulk. Energies are from PBE.

Geometry as POSCAR:
```
KMoOs2
1.0
2.7947 0.0000 0.0000
-1.3973 2.4202 0.0000
0.0000 0.0000 30.8296
K Mo Os
3 3 6
direct
0.0000 0.0000 0.0000
0.3333 0.6667 0.6667
0.6667 0.3333 0.3333
0.0000 0.0000 0.5000
0.3333 0.6667 0.1667
0.6667 0.3333 0.8333
0.0000 0.0000 0.2376
0.0000 0.0000 0.7624
0.3333 0.6667 0.4291
0.3333 0.6667 0.9042
0.6667 0.3333 0.0958
0.6667 0.3333 0.5709
```

Results
Magnetic moment (μB per formula unit): 0.0
N(E_F) (states/eV/f.u.): 1.886
Mass density (Mg/m³): 12.315

---

Out of the structures above, which one is the most stable? Solution: D.